Below is an optimized crystal structure of CoSb3Br, with properties calculated at the PBE-GGA level.

Its crystal system is cubic. The formation energy from raw total energies is 1499 meV per atom. The excess energy over the best structure of this formula in the dataset is 1215 meV/atom.

a = 5.442 Å, b = 5.442 Å, c = 5.442 Å
α = 90.00°, β = 90.00°, γ = 90.00°
Positions (direct):
Co1 0.000 0.000 0.000
Sb1 0.000 0.500 0.500
Sb2 0.500 0.000 0.500
Sb3 0.500 0.500 0.000
Br1 0.500 0.500 0.500

Below is an optimized crystal structure of Ac2TbPm4Pr, with properties calculated at the PBE-GGA level.

Its crystal system is monoclinic. The value obtained for the energy relative to the elements is 3.080 eV per formula unit.

a = 9.881 Å, b = 9.881 Å, c = 7.183 Å
α = 111.30°, β = 111.30°, γ = 88.52°
Positions (direct):
Ac1 0.000 0.000 0.000
Ac2 0.000 0.000 0.500
Ac3 0.000 0.500 0.000
Ac4 0.500 0.000 0.500
Tb1 0.500 0.500 0.000
Tb2 0.500 0.500 0.500
Pm1 0.258 0.274 0.517
Pm2 0.263 0.737 0.515
Pm3 0.263 0.737 0.985
Pm4 0.274 0.258 0.017
Pm5 0.726 0.742 0.983
Pm6 0.737 0.263 0.015
Pm7 0.737 0.263 0.485
Pm8 0.742 0.726 0.483
Pr1 0.000 0.500 0.500
Pr2 0.500 0.000 0.000

These records have calculated total energy values of -13.650 -33.549 eV per formula unit, in the order they appear.
These records have N(E_F) values of 5.616 36.994 states/eV/cell, in the order they appear.